Eu2SnHg: single point on PBEsol structure, SCAN.

Results
density = 9.20 g/cm3
calculated formation energy = -18.550 kcal/mol of atoms

Geometry as POSCAR:
```
Eu2SnHg
1.0
5.419 0.000 0.000
2.710 4.693 0.000
2.710 1.564 4.425
Hg Sn Eu
1 1 2
Direct
0.500 0.500 0.500 Hg
0.000 0.000 0.000 Sn
0.750 0.750 0.750 Eu
0.250 0.250 0.250 Eu
```